Be2CoSi at its PBEsol-relaxed geometry, computed with SCAN.

ΔE_f (raw)   -84.6 kJ/mol of formula units
Fermi-level density of states   1.3 states/eV per cell
DFT total energy   -9.23 eV per atom

Cell: 3.324 3.324 3.363 Å, 90.00 90.00 90.00°
Space group P4/mmm (No. 123)
Symmetry-distinct sites (fractional):
Be (0.000, 0.500, 0.000) (multiplicity 2)
Co (0.000, 0.000, 0.500) (multiplicity 1)
Si (0.500, 0.500, 0.500) (multiplicity 1)